A plane-wave DFT calculation with PBE with a Hubbard U was carried out for a geometry-optimized Ba3U2FeO9 structure.

Cell and atoms, written as POSCAR:
```
Ba3U2FeO9
1.0
-1.605 4.364 -3.926
-2.773 -0.403 5.402
5.171 4.598 2.997
U O Fe Ba
2 9 1 3
direct
0.667 0.333 0.824 U
0.333 0.667 0.176 U
0.665 0.832 0.334 O
0.335 0.168 0.666 O
0.000 0.500 0.000 O
0.168 0.832 0.334 O
0.832 0.168 0.666 O
0.500 0.000 0.000 O
0.500 0.500 0.000 O
0.168 0.335 0.334 O
0.832 0.665 0.666 O
0.000 0.000 0.500 Fe
0.333 0.667 0.650 Ba
0.000 0.000 0.000 Ba
0.667 0.333 0.350 Ba
```

Results
Crystal system: trigonal
Space group: P-3m1, No. 164
Electronic total energy: -0.29745 hartree per atom
M_tot: 5.9 μB/f.u.